# 1
TbMnS3 | GGA-PBE | optimized geometry

Cell and atoms, written as CIF:
```
data_TbMnS3
_symmetry_space_group_name_H-M 'P 1'
_symmetry_Int_Tables_number 1
_symmetry_space_group_name_Hall 'P 1'
_cell_length_a 6.653
_cell_length_b 7.118
_cell_length_c 8.752
_cell_angle_alpha 94.26
_cell_angle_beta 90.00
_cell_angle_gamma 90.00
loop_
_atom_site_label
_atom_site_type_symbol
_atom_site_fract_x
_atom_site_fract_y
_atom_site_fract_z
S1 S 0.805 0.415 0.385
S2 S 0.934 0.797 0.952
S3 S 0.195 0.585 0.615
S4 S 0.066 0.203 0.048
S5 S 0.305 0.585 0.115
S6 S 0.695 0.415 0.885
S7 S 0.569 0.051 0.165
S8 S 0.931 0.051 0.665
S9 S 0.069 0.949 0.335
S10 S 0.566 0.797 0.452
S11 S 0.431 0.949 0.835
S12 S 0.434 0.203 0.548
Tb1 Tb 0.694 0.663 0.165
Tb2 Tb 0.306 0.337 0.835
Tb3 Tb 0.806 0.663 0.665
Tb4 Tb 0.194 0.337 0.335
Mn1 Mn 0.239 0.914 0.077
Mn2 Mn 0.761 0.086 0.923
Mn3 Mn 0.739 0.086 0.423
Mn4 Mn 0.261 0.914 0.577
```

The calculation puts the calculated total energy at -6.452 eV per atom. The uncorrected formation energy comes out at -1.22 eV per atom. The relative energy among the computed polymorphs comes out at 0.048 eV/atom.

=====

# 2
TbMn2S4 | GGA-PBE | optimized geometry

Cell and atoms, written as CIF:
```
data_TbMn2S4
_symmetry_space_group_name_H-M 'P 1'
_symmetry_Int_Tables_number 1
_symmetry_space_group_name_Hall 'P 1'
_cell_length_a 7.574
_cell_length_b 7.574
_cell_length_c 6.925
_cell_angle_alpha 106.76
_cell_angle_beta 106.76
_cell_angle_gamma 118.21
loop_
_atom_site_label
_atom_site_type_symbol
_atom_site_fract_x
_atom_site_fract_y
_atom_site_fract_z
Mn1 Mn 0.172 0.360 0.774
Mn2 Mn 0.649 0.337 0.727
Mn3 Mn 0.610 0.922 0.274
Mn4 Mn 0.587 0.398 0.227
S1 S 0.388 0.079 0.300
S2 S 0.779 0.089 0.700
S3 S 0.863 0.624 0.133
S4 S 0.491 0.730 0.867
S5 S 0.980 0.241 0.367
S6 S 0.329 0.138 0.800
S7 S 0.339 0.529 0.200
S8 S 0.874 0.613 0.633
Tb1 Tb 0.970 0.970 0.000
Tb2 Tb 0.220 0.720 0.500
```

The calculation puts the calculated total energy at -6.674 eV per atom. The uncorrected formation energy comes out at -1.03 eV per atom.

=====

Q: The lowest calculated total energy belongs to which entry?
A: TbMn2S4

=====

Q: What is the calculated total energy in the second record?
A: -6.674 eV per atom

=====

Please write out number 1 again, unchanged.
TbMnS3 | GGA-PBE | optimized geometry

Cell and atoms, written as CIF:
```
data_TbMnS3
_symmetry_space_group_name_H-M 'P 1'
_symmetry_Int_Tables_number 1
_symmetry_space_group_name_Hall 'P 1'
_cell_length_a 6.653
_cell_length_b 7.118
_cell_length_c 8.752
_cell_angle_alpha 94.26
_cell_angle_beta 90.00
_cell_angle_gamma 90.00
loop_
_atom_site_label
_atom_site_type_symbol
_atom_site_fract_x
_atom_site_fract_y
_atom_site_fract_z
S1 S 0.805 0.415 0.385
S2 S 0.934 0.797 0.952
S3 S 0.195 0.585 0.615
S4 S 0.066 0.203 0.048
S5 S 0.305 0.585 0.115
S6 S 0.695 0.415 0.885
S7 S 0.569 0.051 0.165
S8 S 0.931 0.051 0.665
S9 S 0.069 0.949 0.335
S10 S 0.566 0.797 0.452
S11 S 0.431 0.949 0.835
S12 S 0.434 0.203 0.548
Tb1 Tb 0.694 0.663 0.165
Tb2 Tb 0.306 0.337 0.835
Tb3 Tb 0.806 0.663 0.665
Tb4 Tb 0.194 0.337 0.335
Mn1 Mn 0.239 0.914 0.077
Mn2 Mn 0.761 0.086 0.923
Mn3 Mn 0.739 0.086 0.423
Mn4 Mn 0.261 0.914 0.577
```

The calculation puts the calculated total energy at -6.452 eV per atom. The uncorrected formation energy comes out at -1.22 eV per atom. The relative energy among the computed polymorphs comes out at 0.048 eV/atom.